Entry 1:
A plane-wave DFT calculation with PBE-GGA was carried out for a relaxed La3Nd6Dy2 crystal.

Summary:
offset from the most stable computed form = 0.000 eV/atom
energy of formation from the pure elements = 1.10 eV per formula unit
SG = R-3m
total magnetic moment = 0.00 μB/cell
Fermi-level density of states = 19.1 states/eV per cell

```
data_La3Nd6Dy2
_chemical_formula_sum 'La3 Nd6 Dy2'
_symmetry_space_group_name_H-M 'P 1'
_symmetry_Int_Tables_number 1
_cell_length_a 5.8367
_cell_length_b 5.8367
_cell_length_c 13.5823
_cell_angle_alpha 77.59
_cell_angle_beta 77.59
_cell_angle_gamma 60.00
loop_
_symmetry_equiv_pos_as_xyz
'x,y,z'
loop_
_atom_site_label
_atom_site_type_symbol
_atom_site_fract_x
_atom_site_fract_y
_atom_site_fract_z
La1 La 0.0000 0.0000 0.0000
La2 La 0.7172 0.7172 0.8484
La3 La 0.2828 0.2828 0.1516
Nd1 Nd 0.9081 0.9081 0.2756
Nd2 Nd 0.0919 0.0919 0.7244
Nd3 Nd 0.8138 0.8138 0.5585
Nd4 Nd 0.1862 0.1862 0.4415
Nd5 Nd 0.6241 0.6241 0.1276
Nd6 Nd 0.3759 0.3759 0.8724
Dy1 Dy 0.5403 0.5403 0.3791
Dy2 Dy 0.4597 0.4597 0.6209
```

Entry 2:
A plane-wave DFT calculation with PBE-GGA was carried out for a relaxed La3NdDy2 crystal.

Summary:
offset from the most stable computed form = 0.000 eV/atom
energy of formation from the pure elements = 0.12 eV per formula unit
SG = C2/c
total magnetic moment = 0.00 μB/cell
Fermi-level density of states = 19.2 states/eV per cell

```
data_La3NdDy2
_chemical_formula_sum 'La6 Nd2 Dy4'
_symmetry_space_group_name_H-M 'P 1'
_symmetry_Int_Tables_number 1
_cell_length_a 6.3354
_cell_length_b 6.3354
_cell_length_c 12.1969
_cell_angle_alpha 110.33
_cell_angle_beta 110.33
_cell_angle_gamma 70.26
loop_
_symmetry_equiv_pos_as_xyz
'x,y,z'
loop_
_atom_site_label
_atom_site_type_symbol
_atom_site_fract_x
_atom_site_fract_y
_atom_site_fract_z
La1 La 0.7918 0.5414 0.5830
La2 La 0.4586 0.2082 0.9170
La3 La 0.2082 0.4586 0.4170
La4 La 0.5414 0.7918 0.0830
La5 La 0.6250 0.3750 0.2500
La6 La 0.3750 0.6250 0.7500
Nd1 Nd 0.1248 0.8752 0.2500
Nd2 Nd 0.8752 0.1248 0.7500
Dy1 Dy 0.0408 0.2907 0.0816
Dy2 Dy 0.7093 0.9592 0.4184
Dy3 Dy 0.9592 0.7093 0.9184
Dy4 Dy 0.2907 0.0408 0.5816
```

Entry 3:
A plane-wave DFT calculation with PBE-GGA was carried out for a relaxed La5Nd2Dy5 crystal.

Summary:
energy of formation from the pure elements = 0.30 eV per formula unit
SG = C2/m
total magnetic moment = 0.00 μB/cell
Fermi-level density of states = 19.8 states/eV per cell

```
data_La5Nd2Dy5
_chemical_formula_sum 'La5 Nd2 Dy5'
_symmetry_space_group_name_H-M 'P 1'
_symmetry_Int_Tables_number 1
_cell_length_a 5.1538
_cell_length_b 10.9192
_cell_length_c 8.1945
_cell_angle_alpha 98.60
_cell_angle_beta 71.67
_cell_angle_gamma 76.35
loop_
_symmetry_equiv_pos_as_xyz
'x,y,z'
loop_
_atom_site_label
_atom_site_type_symbol
_atom_site_fract_x
_atom_site_fract_y
_atom_site_fract_z
La1 La 0.6690 0.2491 0.4128
La2 La 0.0001 0.2488 0.7511
La3 La 0.9999 0.7512 0.2489
La4 La 0.3310 0.7509 0.5872
La5 La 0.0000 0.0000 0.0000
Nd1 Nd 0.3336 0.5006 0.8322
Nd2 Nd 0.6664 0.4994 0.1678
Dy1 Dy 0.0000 0.5000 0.5000
Dy2 Dy 0.6674 0.7490 0.9163
Dy3 Dy 0.3333 0.9998 0.3336
Dy4 Dy 0.6667 0.0002 0.6664
Dy5 Dy 0.3326 0.2510 0.0837
```

Entry 4:
A plane-wave DFT calculation with PBE-GGA was carried out for a relaxed La12NdDy5 crystal.

Summary:
energy of formation from the pure elements = 0.25 eV per formula unit
SG = C2/m
total magnetic moment = 0.00 μB/cell
Fermi-level density of states = 29.1 states/eV per cell

```
data_La12NdDy5
_chemical_formula_sum 'La12 Nd1 Dy5'
_symmetry_space_group_name_H-M 'P 1'
_symmetry_Int_Tables_number 1
_cell_length_a 6.3928
_cell_length_b 6.3928
_cell_length_c 18.1013
_cell_angle_alpha 86.64
_cell_angle_beta 86.64
_cell_angle_gamma 120.04
loop_
_symmetry_equiv_pos_as_xyz
'x,y,z'
loop_
_atom_site_label
_atom_site_type_symbol
_atom_site_fract_x
_atom_site_fract_y
_atom_site_fract_z
La1 La 0.1119 0.1119 0.6628
La2 La 0.8881 0.8881 0.3372
La3 La 0.2816 0.2816 0.1654
La4 La 0.7184 0.7184 0.8346
La5 La 0.6110 0.9464 0.1654
La6 La 0.0536 0.3890 0.8346
La7 La 0.9464 0.6110 0.1654
La8 La 0.3890 0.0536 0.8346
La9 La 0.5551 0.2216 0.3372
La10 La 0.2216 0.5551 0.3372
La11 La 0.7784 0.4449 0.6628
La12 La 0.4449 0.7784 0.6628
Nd1 Nd 0.0000 0.0000 0.0000
Dy1 Dy 0.5000 0.5000 0.5000
Dy2 Dy 0.8334 0.1666 0.5000
Dy3 Dy 0.1666 0.8334 0.5000
Dy4 Dy 0.3333 0.6667 0.0000
Dy5 Dy 0.6667 0.3333 0.0000
```

Entry 5:
A plane-wave DFT calculation with PBE-GGA was carried out for a relaxed La3Nd5Dy2 crystal.

Summary:
energy of formation from the pure elements = 1.64 eV per formula unit
SG = C2/c
total magnetic moment = 0.00 μB/cell
Fermi-level density of states = 32.8 states/eV per cell

```
data_La3Nd5Dy2
_chemical_formula_sum 'La6 Nd10 Dy4'
_symmetry_space_group_name_H-M 'P 1'
_symmetry_Int_Tables_number 1
_cell_length_a 10.2189
_cell_length_b 10.1430
_cell_length_c 11.3428
_cell_angle_alpha 129.13
_cell_angle_beta 129.27
_cell_angle_gamma 65.90
loop_
_symmetry_equiv_pos_as_xyz
'x,y,z'
loop_
_atom_site_label
_atom_site_type_symbol
_atom_site_fract_x
_atom_site_fract_y
_atom_site_fract_z
La1 La 0.2266 0.9766 0.9531
La2 La 0.7734 0.0234 0.0469
La3 La 0.7232 0.4669 0.2474
La4 La 0.2768 0.5331 0.7526
La5 La 0.0242 0.7806 0.2474
La6 La 0.9758 0.2194 0.7526
Nd1 Nd 0.2701 0.5201 0.0402
Nd2 Nd 0.7299 0.4799 0.9598
Nd3 Nd 0.0169 0.7669 0.5338
Nd4 Nd 0.5240 0.2740 0.5480
Nd5 Nd 0.9831 0.2331 0.4662
Nd6 Nd 0.4760 0.7260 0.4520
Nd7 Nd 0.8591 0.6171 0.7447
Nd8 Nd 0.1409 0.3829 0.2553
Nd9 Nd 0.3856 0.1276 0.7447
Nd10 Nd 0.6144 0.8724 0.2553
Dy1 Dy 0.7790 0.0208 0.7468
Dy2 Dy 0.2210 0.9792 0.2532
Dy3 Dy 0.4678 0.7260 0.7468
Dy4 Dy 0.5322 0.2740 0.2532
```

Entry 6:
A plane-wave DFT calculation with PBE-GGA was carried out for a relaxed LaNd9Dy2 crystal.

Summary:
energy of formation from the pure elements = 0.20 eV per formula unit
SG = P4/mmm
total magnetic moment = 0.00 μB/cell
Fermi-level density of states = 20.5 states/eV per cell

```
data_LaNd9Dy2
_chemical_formula_sum 'La1 Nd9 Dy2'
_symmetry_space_group_name_H-M 'P 1'
_symmetry_Int_Tables_number 1
_cell_length_a 5.1810
_cell_length_b 5.1810
_cell_length_c 15.5585
_cell_angle_alpha 90.00
_cell_angle_beta 90.00
_cell_angle_gamma 90.00
loop_
_symmetry_equiv_pos_as_xyz
'x,y,z'
loop_
_atom_site_label
_atom_site_type_symbol
_atom_site_fract_x
_atom_site_fract_y
_atom_site_fract_z
La1 La 0.0000 0.0000 0.0000
Nd1 Nd 0.5000 0.5000 0.0000
Nd2 Nd 0.5000 0.5000 0.3359
Nd3 Nd 0.5000 0.5000 0.6641
Nd4 Nd 0.5000 0.0000 0.1699
Nd5 Nd 0.5000 0.0000 0.5000
Nd6 Nd 0.5000 0.0000 0.8301
Nd7 Nd 0.0000 0.5000 0.1699
Nd8 Nd 0.0000 0.5000 0.5000
Nd9 Nd 0.0000 0.5000 0.8301
Dy1 Dy 0.0000 0.0000 0.3346
Dy2 Dy 0.0000 0.0000 0.6654
```

Entry 7:
A plane-wave DFT calculation with PBE-GGA was carried out for a relaxed LaNd3Dy3 crystal.

Summary:
offset from the most stable computed form = 0.000 eV/atom
energy of formation from the pure elements = 0.20 eV per formula unit
SG = P6_3/m
total magnetic moment = 0.00 μB/cell
Fermi-level density of states = 24.3 states/eV per cell

```
data_LaNd3Dy3
_chemical_formula_sum 'La2 Nd6 Dy6'
_symmetry_space_group_name_H-M 'P 1'
_symmetry_Int_Tables_number 1
_cell_length_a 5.8414
_cell_length_b 9.7395
_cell_length_c 9.7395
_cell_angle_alpha 120.00
_cell_angle_beta 90.00
_cell_angle_gamma 90.00
loop_
_symmetry_equiv_pos_as_xyz
'x,y,z'
loop_
_atom_site_label
_atom_site_type_symbol
_atom_site_fract_x
_atom_site_fract_y
_atom_site_fract_z
La1 La 0.2500 0.6667 0.3333
La2 La 0.7500 0.3333 0.6667
Nd1 Nd 0.7500 0.6209 0.5258
Nd2 Nd 0.7500 0.4742 0.0951
Nd3 Nd 0.7500 0.9049 0.3791
Nd4 Nd 0.2500 0.3791 0.4742
Nd5 Nd 0.2500 0.5258 0.9049
Nd6 Nd 0.2500 0.0951 0.6209
Dy1 Dy 0.2500 0.8134 0.7682
Dy2 Dy 0.2500 0.2318 0.0451
Dy3 Dy 0.2500 0.9549 0.1866
Dy4 Dy 0.7500 0.1866 0.2318
Dy5 Dy 0.7500 0.7682 0.9549
Dy6 Dy 0.7500 0.0451 0.8134
```

Entry 8:
A plane-wave DFT calculation with PBE-GGA was carried out for a relaxed La2NdDy4 crystal.

Summary:
offset from the most stable computed form = 0.000 eV/atom
energy of formation from the pure elements = 1.67 eV per formula unit
SG = I4/mmm
total magnetic moment = 0.00 μB/cell
Fermi-level density of states = 10.9 states/eV per cell

```
data_La2NdDy4
_chemical_formula_sum 'La2 Nd1 Dy4'
_symmetry_space_group_name_H-M 'P 1'
_symmetry_Int_Tables_number 1
_cell_length_a 4.6332
_cell_length_b 4.6332
_cell_length_c 11.8400
_cell_angle_alpha 101.28
_cell_angle_beta 101.28
_cell_angle_gamma 90.00
loop_
_symmetry_equiv_pos_as_xyz
'x,y,z'
loop_
_atom_site_label
_atom_site_type_symbol
_atom_site_fract_x
_atom_site_fract_y
_atom_site_fract_z
La1 La 0.5992 0.5992 0.1983
La2 La 0.4008 0.4008 0.8017
Nd1 Nd 0.0000 0.0000 0.0000
Dy1 Dy 0.1405 0.1405 0.2811
Dy2 Dy 0.8595 0.8595 0.7189
Dy3 Dy 0.7500 0.2500 0.5000
Dy4 Dy 0.2500 0.7500 0.5000
```

Question: Which value of total magnetic moment does entry 2 give?
Answer: 0.00 μB/cell